Here is a relaxed NaHf2Co2 crystal from the Open Quantum Materials Database. Energies are from PBE-GGA.

The structure belongs to space group P6_3/mmc (No. 194); the cell edges are 4.2489, 4.2489 and 10.6097 Å and the angles 90.00°, 90.00° and 120.00°. The asymmetric unit holds Na at (0.0000, 0.0000, 0.2500), Hf at (0.3333, 0.6667, 0.0947), Co at (0.0000, 0.0000, 0.0000) and Co at (0.3333, 0.6667, 0.7500).

The total magnetization comes out at 0.16 μB/cell. The volume comes out at 16.59 Å³/atom. For the total energy, the calculation gives -66.37 eV for the cell shown.

***

Here is a relaxed NaHfCoPb crystal from the Open Quantum Materials Database. Energies are from PBE-GGA.

The structure belongs to space group F-43m (No. 216); the cell edges are 6.5673, 6.5673 and 6.5673 Å and the angles 90.00°, 90.00° and 90.00°. The asymmetric unit holds Na at (0.0000, 0.0000, 0.0000), Hf at (0.2500, 0.2500, 0.7500), Co at (0.0000, 0.0000, 0.5000) and Pb at (0.2500, 0.2500, 0.2500).

The total magnetization comes out at 0.02 μB/cell. The value obtained for the offset from the most stable computed form is 0 meV per atom. The volume comes out at 17.70 Å³/atom. For the total energy, the calculation gives -84.89 eV for the cell shown.

***

Here is a relaxed NaHfCoPb crystal from the Open Quantum Materials Database. Energies are from PBE-GGA.

The structure belongs to space group F-43m (No. 216); the cell edges are 6.7892, 6.7892 and 6.7892 Å and the angles 90.00°, 90.00° and 90.00°. The asymmetric unit holds Na at (0.0000, 0.0000, 0.0000), Hf at (0.0000, 0.0000, 0.5000), Co at (0.2500, 0.2500, 0.7500) and Pb at (0.2500, 0.2500, 0.2500).

The total magnetization comes out at 5.19 μB/cell. The value obtained for the offset from the most stable computed form is 152 meV per atom. The volume comes out at 19.56 Å³/atom. For the total energy, the calculation gives -82.47 eV for the cell shown.

***

Here is a relaxed NaHfCoSi crystal from the Open Quantum Materials Database. Energies are from PBE-GGA.

The structure belongs to space group F-43m (No. 216); the cell edges are 6.1690, 6.1690 and 6.1690 Å and the angles 90.00°, 90.00° and 90.00°. The asymmetric unit holds Na at (0.0000, 0.0000, 0.0000), Hf at (0.2500, 0.2500, 0.2500), Co at (0.0000, 0.0000, 0.5000) and Si at (0.2500, 0.2500, 0.7500).

The total magnetization comes out at 0.00 μB/cell. The value obtained for the offset from the most stable computed form is 0 meV per atom. The volume comes out at 14.67 Å³/atom. For the total energy, the calculation gives -95.29 eV for the cell shown.

***

Here is a relaxed NaHfCoSi crystal from the Open Quantum Materials Database. Energies are from PBE-GGA.

The structure belongs to space group F-43m (No. 216); the cell edges are 6.3963, 6.3963 and 6.3963 Å and the angles 90.00°, 90.00° and 90.00°. The asymmetric unit holds Na at (0.0000, 0.0000, 0.0000), Hf at (0.0000, 0.0000, 0.5000), Co at (0.2500, 0.2500, 0.2500) and Si at (0.2500, 0.2500, 0.7500).

The total magnetization comes out at 3.45 μB/cell. The value obtained for the offset from the most stable computed form is 158 meV per atom. The volume comes out at 16.36 Å³/atom. For the total energy, the calculation gives -92.76 eV for the cell shown.

***

Here is a relaxed HfNb2Co crystal from the Open Quantum Materials Database. Energies are from PBE-GGA.

The structure belongs to space group F-43m (No. 216); the cell edges are 6.4317, 6.4317 and 6.4317 Å and the angles 90.00°, 90.00° and 90.00°. The asymmetric unit holds Hf at (0.0000, 0.0000, 0.0000), Nb at (0.0000, 0.0000, 0.5000), Nb at (0.2500, 0.2500, 0.7500) and Co at (0.2500, 0.2500, 0.2500).

The total magnetization comes out at 0.03 μB/cell. The volume comes out at 16.63 Å³/atom. For the total energy, the calculation gives -149.25 eV for the cell shown. For the formation energy, the calculation gives -0.02 eV per atom.

***

Here is a relaxed HfNbCoPb crystal from the Open Quantum Materials Database. Energies are from PBE-GGA.

The structure belongs to space group F-43m (No. 216); the cell edges are 6.6644, 6.6644 and 6.6644 Å and the angles 90.00°, 90.00° and 90.00°. The asymmetric unit holds Hf at (0.0000, 0.0000, 0.0000), Nb at (0.2500, 0.2500, 0.2500), Co at (0.2500, 0.2500, 0.7500) and Pb at (0.0000, 0.0000, 0.5000).

The total magnetization comes out at 7.91 μB/cell. The value obtained for the offset from the most stable computed form is 0 meV per atom. The volume comes out at 18.50 Å³/atom. For the total energy, the calculation gives -117.65 eV for the cell shown.

***

Here is a relaxed HfNb4Co2Se12 crystal from the Open Quantum Materials Database. Energies are from PBE-GGA.

The structure belongs to space group C2/m (No. 12); the cell edges are 13.7644, 3.4292 and 19.5077 Å and the angles 90.00°, 109.06° and 90.00°. The asymmetric unit holds Hf at (0.0000, 0.0000, 0.0000), Nb at (0.1205, 0.5000, 0.1509), Nb at (0.2417, 0.5000, 0.4073), Co at (0.2266, 0.0000, 0.2839), Se at (0.0342, 0.0000, 0.8760), Se at (0.1024, 0.5000, 0.2826), Se at (0.1282, 0.5000, 0.6101), Se at (0.1311, 0.0000, 0.4530), Se at (0.1942, 0.0000, 0.7633) and Se at (0.1958, 0.0000, 0.0770).

The total magnetization comes out at 0.76 μB/cell. The volume comes out at 22.90 Å³/atom. For the total energy, the calculation gives -241.42 eV for the cell shown.

***

Please write out number 5 again, unchanged.
Here is a relaxed NaHfCoSi crystal from the Open Quantum Materials Database. Energies are from PBE-GGA.

The structure belongs to space group F-43m (No. 216); the cell edges are 6.3963, 6.3963 and 6.3963 Å and the angles 90.00°, 90.00° and 90.00°. The asymmetric unit holds Na at (0.0000, 0.0000, 0.0000), Hf at (0.0000, 0.0000, 0.5000), Co at (0.2500, 0.2500, 0.2500) and Si at (0.2500, 0.2500, 0.7500).

The total magnetization comes out at 3.45 μB/cell. The value obtained for the offset from the most stable computed form is 158 meV per atom. The volume comes out at 16.36 Å³/atom. For the total energy, the calculation gives -92.76 eV for the cell shown.

***

Question: Number 1 is which compound?
Answer: NaHf2Co2

***

Question: Which of these has the lowest volume?
Answer: number 4